(one)
First-principles (PBE) data for a geometry-optimized Cs2Rb2P structure, as listed in Alexandria via LeMat-Bulk.

abc: 9.1858 9.1858 7.6212
angles: 90.00 90.00 90.00
With the nearest neighbours (Å) after each atom.
Fractional coordinates of all 10 atoms:
Cs1 0.1581 0.3419 0.0000  2 P 3.46
Cs2 0.3419 0.8419 0.0000  2 P 3.46
Cs3 0.6581 0.1581 0.0000  2 P 3.46
Cs4 0.8419 0.6581 0.0000  2 P 3.46
Rb1 0.1996 0.6996 0.5000  2 Cs 4.24, 4 Rb 4.69
Rb2 0.3004 0.1996 0.5000  2 Cs 4.24, 4 Rb 4.69
Rb3 0.6996 0.8004 0.5000  2 Cs 4.24, 4 Rb 4.69
Rb4 0.8004 0.3004 0.5000  2 Cs 4.24, 4 Rb 4.69
P1 0.0000 0.0000 0.0000  4 Cs 3.46
P2 0.5000 0.5000 0.0000  4 Cs 3.46

Values from the calculation:
Space-group type: P4/mbm

(two)
First-principles (PBE) data for a geometry-optimized Cs2Rb2P structure, as listed in Alexandria via LeMat-Bulk.

abc: 9.0076 9.0076 7.2204
angles: 90.00 90.00 90.00
With the nearest neighbours (Å) after each atom.
Fractional coordinates of all 10 atoms:
Cs1 0.2091 0.2909 0.0000  2 Rb 3.98
Cs2 0.2909 0.7909 0.0000  2 Rb 3.98
Cs3 0.7091 0.2091 0.0000  2 Rb 3.98
Cs4 0.7909 0.7091 0.0000  2 Rb 3.98
Rb1 0.1598 0.6598 0.5000  2 P 3.39
Rb2 0.3402 0.1598 0.5000  2 P 3.39
Rb3 0.6598 0.8402 0.5000  2 P 3.39
Rb4 0.8402 0.3402 0.5000  2 P 3.39
P1 0.0000 0.0000 0.5000  4 Rb 3.39
P2 0.5000 0.5000 0.5000  4 Rb 3.39

Values from the calculation:
Space-group type: P4/mbm

Relative energies, kJ/mol of atoms: (one) 4.8; (two) 0.0.

(one)
First-principles (PBE) data for a geometry-optimized Cs2RbP2 structure, as listed in Alexandria via LeMat-Bulk.

abc: 8.6326 8.6326 5.5657
angles: 90.00 90.00 90.00
With the nearest neighbours (Å) after each atom.
Fractional coordinates of all 10 atoms:
Cs1 0.1713 0.3287 0.0000  6 P 3.64-4.05
Cs2 0.3287 0.8287 0.0000  6 P 3.64-4.05
Cs3 0.6713 0.1713 0.0000  6 P 3.64-4.05
Cs4 0.8287 0.6713 0.0000  6 P 3.64-4.05
Rb1 0.0000 0.0000 0.5000  4 P 3.64
Rb2 0.5000 0.5000 0.5000  4 P 3.64
P1 0.0879 0.5879 0.5000  1 P 2.15
P2 0.4121 0.0879 0.5000  1 P 2.15
P3 0.5879 0.9121 0.5000  1 P 2.15
P4 0.9121 0.4121 0.5000  1 P 2.15

Values from the calculation:
Space-group type: P4/mbm

(two)
First-principles (PBE) data for a geometry-optimized Cs2RbP2 structure, as listed in Alexandria via LeMat-Bulk.

abc: 6.7949 6.7949 6.7949
angles: 132.61 117.53 82.00
With the nearest neighbours (Å) after each atom.
Fractional coordinates of all 5 atoms:
Cs1 0.2052 0.2052 0.0000  6 P 3.61-3.88
Cs2 0.7948 0.7948 0.0000  6 P 3.61-3.88
Rb1 0.5000 0.0000 0.5000  4 P 3.66, 4 Cs 4.07
P1 0.1543 0.5000 0.6543  1 P 2.17
P2 0.8457 0.5000 0.3457  1 P 2.17

Values from the calculation:
Space-group type: Immm

Relative energies, kJ/mol of atoms: (one) 3.7; (two) 0.0.

(one)
First-principles (PBE) data for a geometry-optimized Cs4Rb2P structure, as listed in Alexandria via LeMat-Bulk.

abc: 14.6387 14.6387 14.6387
angles: 152.44 152.44 39.37
With the nearest neighbours (Å) after each atom.
Fractional coordinates of all 7 atoms:
Cs1 0.0000 0.5000 0.5000  2 P 3.49
Cs2 0.1221 0.1221 0.0000  1 P 3.37
Cs3 0.5000 0.0000 0.5000  2 P 3.49
Cs4 0.8779 0.8779 0.0000  1 P 3.37
Rb1 0.2975 0.2975 0.0000  5 Cs 4.84-5.41
Rb2 0.7025 0.7025 0.0000  5 Cs 4.84-5.41
P1 0.0000 0.0000 0.0000  6 Cs 3.37-3.49

Values from the calculation:
Space-group type: I4/mmm

(two)
First-principles (PBE) data for a geometry-optimized Cs4Rb2P structure, as listed in Alexandria via LeMat-Bulk.

abc: 10.1549 10.1549 9.5871
angles: 112.58 112.58 36.74
With the nearest neighbours (Å) after each atom.
Fractional coordinates of all 7 atoms:
Cs1 0.0300 0.0300 0.2203  2 P 3.75, 1 Cs 3.90
Cs2 0.3773 0.3773 0.2002  1 P 3.60
Cs3 0.6227 0.6227 0.7998  1 P 3.60
Cs4 0.9700 0.9700 0.7797  2 P 3.75, 1 Cs 3.90
Rb1 0.3193 0.3193 0.7170  1 P 3.44
Rb2 0.6807 0.6807 0.2830  1 P 3.44
P1 0.5000 0.5000 0.0000  2 Rb 3.44, 6 Cs 3.60-3.75

Values from the calculation:
Space-group type: C2/m

Relative energies, kJ/mol of atoms: (one) 3.6; (two) 0.0.

(one)
First-principles (PBE) data for a geometry-optimized CsRbPS2 structure, as listed in Alexandria via LeMat-Bulk.

abc: 6.1670 6.1670 6.4177
angles: 90.00 90.00 90.00
With the nearest neighbours (Å) after each atom.
Fractional coordinates of all 5 atoms:
Cs1 0.0000 0.0000 0.0000  4 P 4.36, 8 S 4.45
Rb1 0.5000 0.5000 0.5000  4 S 3.08, 2 P 3.21
P1 0.5000 0.5000 0.0000  2 Rb 3.21
S1 0.0000 0.5000 0.5000  2 Rb 3.08
S2 0.5000 0.0000 0.5000  2 Rb 3.08

Values from the calculation:
Space-group type: P4/mmm

(two)
First-principles (PBE) data for a geometry-optimized CsRbPS2 structure, as listed in Alexandria via LeMat-Bulk.

abc: 7.8776 5.4330 9.5287
angles: 90.00 104.60 90.00
With the nearest neighbours (Å) after each atom.
Fractional coordinates of all 10 atoms:
Cs1 0.0000 0.2336 0.2500  6 S 3.52-3.92
Cs2 0.0000 0.7664 0.7500  6 S 3.52-3.92
Rb1 0.5000 0.4602 0.7500  4 S 3.35-3.43, 2 P 3.45
Rb2 0.5000 0.5398 0.2500  4 S 3.35-3.43, 2 P 3.45
P1 0.5000 0.0000 0.0000  2 S 2.18
P2 0.5000 0.0000 0.5000  2 S 2.18
S1 0.2599 0.2165 0.9703  1 P 2.18
S2 0.2599 0.7835 0.4703  1 P 2.18
S3 0.7401 0.2165 0.5297  1 P 2.18
S4 0.7401 0.7835 0.0297  1 P 2.18

Values from the calculation:
Space-group type: P2/c

Relative energies, kJ/mol of atoms: (one) 92.4; (two) 0.0.